A geometry-optimized Tb6Ho4Tl structure, computed with PBE-GGA.

Summary:
* density of states at the Fermi level: 12.6 states/eV per cell
* energy: -4.288 eV per atom
* energy of formation from the pure elements: 0.118 eV per atom
* symmetry: P-6m2 (187)

Cell lengths 10.8849, 10.8849, 3.4567 Å; angles 90.00, 90.00, 120.00 degrees
Positions (direct):
Tb  0.1849  0.3698  0.0000
Tb  0.1849  0.8151  0.0000
Tb  0.5206  0.0412  0.5000
Tb  0.5206  0.4794  0.5000
Tb  0.6302  0.8151  0.0000
Tb  0.9588  0.4794  0.5000
Ho  0.3030  0.1515  0.0000
Ho  0.3333  0.6667  0.5000
Ho  0.8485  0.1515  0.0000
Ho  0.8485  0.6970  0.0000
Tl  0.0000  0.0000  0.5000